TaCuWO6: relaxed, GGA+U.

Values from the calculation:
total magnetization: 0.00 μB per cell
total energy: -140.350 eV/cell
symmetry: No. 163

a b c (Å): 5.2149 5.2149 9.2867
angles (deg): 90.00 90.00 120.00
Last column: nearest neighbours and their distance in Å.
Sites, in units of the cell vectors:
Ta 0.3333 0.6667 0.2500  6 O 2.01
Ta 0.6667 0.3333 0.7500  6 O 2.01
Cu 0.0000 0.0000 0.0000  6 O 2.25
Cu 0.0000 0.0000 0.5000  6 O 2.25
W 0.3333 0.6667 0.7500  6 O 1.97
W 0.6667 0.3333 0.2500  6 O 1.97
O 0.0064 0.3625 0.6346  1 W 1.97, 1 Ta 2.01
O 0.0064 0.6440 0.8654  1 W 1.97, 1 Ta 2.01
O 0.3560 0.3625 0.8654  1 W 1.97, 1 Ta 2.01
O 0.3560 0.9936 0.6346  1 W 1.97, 1 Ta 2.01
O 0.3625 0.0064 0.1346  1 W 1.97, 1 Ta 2.01
O 0.3625 0.3560 0.3654  1 W 1.97, 1 Ta 2.01
O 0.6375 0.6440 0.6346  1 W 1.97, 1 Ta 2.01
O 0.6375 0.9936 0.8654  1 W 1.97, 1 Ta 2.01
O 0.6440 0.0064 0.3654  1 W 1.97, 1 Ta 2.01
O 0.6440 0.6375 0.1346  1 W 1.97, 1 Ta 2.01
O 0.9936 0.3560 0.1346  1 W 1.97, 1 Ta 2.01
O 0.9936 0.6375 0.3654  1 W 1.97, 1 Ta 2.01